Nb14TcOs after structural relaxation. Source: Alexandria, functional PBE.

Calculated values
Space-group type: P4/mmm (123)
Electronic total energy in eV per atom: -10.296

```
Nb14TcOs
1.0
6.531 0.000 0.000
0.000 6.531 0.000
0.000 0.000 6.598
Nb Tc Os
14 1 1
Direct
0.000 0.000 0.000
0.000 0.500 0.000
0.000 0.500 0.500
0.250 0.250 0.256
0.250 0.250 0.744
0.250 0.750 0.256
0.250 0.750 0.744
0.500 0.000 0.000
0.500 0.000 0.500
0.500 0.500 0.000
0.750 0.250 0.256
0.750 0.250 0.744
0.750 0.750 0.256
0.750 0.750 0.744
0.000 0.000 0.500
0.500 0.500 0.500
```


Nb2TcOs after structural relaxation. Source: Alexandria, functional PBE.

Calculated values
Space-group type: Fm-3m (225)
Electronic total energy in eV per atom: -10.694

```
Nb2TcOs
1.0
0.000 3.192 3.192
3.192 0.000 3.192
3.192 3.192 0.000
Nb Tc Os
2 1 1
Direct
0.250 0.250 0.250
0.750 0.750 0.750
0.000 0.000 0.000
0.500 0.500 0.500
```


NbTcOs3 after structural relaxation. Source: Alexandria, functional PBE.

Calculated values
Polymorph energy (0 for the lowest one) in eV/atom: 1.866
Space-group type: Pm-3m (221)

```
NbTcOs3
1.0
4.614 0.000 0.000
0.000 4.614 0.000
0.000 0.000 4.614
Nb Tc Os
1 1 3
Direct
0.000 0.000 0.000
0.500 0.500 0.500
0.000 0.500 0.500
0.500 0.000 0.500
0.500 0.500 0.000
```